Entry from Alexandria via LeMat-Bulk: an optimized crystal structure of Cr2CoCuNi (PBE).

Summary:
Calculated volume, Å³/atom: 15.8
DFT total energy, eV/cell: -30.31
Energy of formation from the pure elements, eV/atom: 1.185

Structure (CIF):
```
data_Cr2CoCuNi
_cell_length_a 4.246
_cell_length_b 4.246
_cell_length_c 4.376
_cell_angle_alpha 90.00
_cell_angle_beta 90.00
_cell_angle_gamma 90.00
_symmetry_space_group_name_H-M 'P 4/m m m'
_symmetry_Int_Tables_number 123
_symmetry_space_group_name_Hall '-P 4 2'
loop_
_atom_site_label
_atom_site_type_symbol
_atom_site_fract_x
_atom_site_fract_y
_atom_site_fract_z
_atom_site_occupancy
Cr1 Cr 0.000 0.500 0.000 1
Co1 Co 0.000 0.000 0.000 1
Cu1 Cu 0.000 0.000 0.500 1
Ni1 Ni 0.500 0.500 0.500 1
```

=====

Entry from Alexandria via LeMat-Bulk: an optimized crystal structure of Eu2NiPd (PBE).

Summary:
Calculated volume, Å³/atom: 22.9
DFT total energy, eV/cell: -131.20
ΔE to the lowest computed polymorph, eV/f.u.: 0.01
Energy of formation from the pure elements, eV/atom: -0.319

Structure (CIF):
```
data_Eu2NiPd
_cell_length_a 7.157
_cell_length_b 7.157
_cell_length_c 7.157
_cell_angle_alpha 90.00
_cell_angle_beta 90.00
_cell_angle_gamma 90.00
_symmetry_space_group_name_H-M 'F m -3 m'
_symmetry_Int_Tables_number 225
_symmetry_space_group_name_Hall '-F 4 2 3'
loop_
_atom_site_label
_atom_site_type_symbol
_atom_site_fract_x
_atom_site_fract_y
_atom_site_fract_z
_atom_site_occupancy
Eu1 Eu 0.250 0.250 0.250 1
Ni1 Ni 0.000 0.000 0.000 1
Pd1 Pd 0.000 0.000 0.500 1
```

=====

Entry from Alexandria via LeMat-Bulk: an optimized crystal structure of NaBPb (PBE).

Summary:
Calculated volume, Å³/atom: 22.8
DFT total energy, eV/cell: -42.65
Energy of formation from the pure elements, eV/atom: 0.347

Structure (CIF):
```
data_NaBPb
_cell_length_a 4.851
_cell_length_b 11.058
_cell_length_c 5.105
_cell_angle_alpha 90.00
_cell_angle_beta 90.00
_cell_angle_gamma 90.00
_symmetry_space_group_name_H-M 'C m m m'
_symmetry_Int_Tables_number 65
_symmetry_space_group_name_Hall '-C 2 2'
loop_
_atom_site_label
_atom_site_type_symbol
_atom_site_fract_x
_atom_site_fract_y
_atom_site_fract_z
_atom_site_occupancy
Na1 Na 0.000 0.132 0.000 1
B1 B 0.000 0.500 0.154 1
Pb1 Pb 0.000 0.348 0.500 1
```

=====

Entry from Alexandria via LeMat-Bulk: an optimized crystal structure of Ho2GaRh (PBE).

Summary:
Calculated volume, Å³/atom: 29.3
DFT total energy, eV/cell: -61.68
Energy of formation from the pure elements, eV/atom: -0.257

Structure (CIF):
```
data_Ho2GaRh
_cell_length_a 3.8171
_cell_length_b 3.8171
_cell_length_c 27.8486
_cell_angle_alpha 90.00
_cell_angle_beta 90.00
_cell_angle_gamma 120.00
_symmetry_space_group_name_H-M 'R -3 m'
_symmetry_Int_Tables_number 166
_symmetry_space_group_name_Hall '-R 3 2"'
loop_
_atom_site_label
_atom_site_type_symbol
_atom_site_fract_x
_atom_site_fract_y
_atom_site_fract_z
_atom_site_occupancy
Ho1 Ho 0.0000 0.0000 0.1098 1
Ga1 Ga 0.0000 0.0000 0.0000 1
Rh1 Rh 0.0000 0.0000 0.5000 1
```

=====

Entry from Alexandria via LeMat-Bulk: an optimized crystal structure of Tm2Cd2PRh4 (PBE).

Summary:
Calculated volume, Å³/atom: 18.6
DFT total energy, eV/cell: -100.43
Energy of formation from the pure elements, eV/atom: -0.514

Structure (CIF):
```
data_Tm2Cd2PRh4
_cell_length_a 6.174
_cell_length_b 6.174
_cell_length_c 8.800
_cell_angle_alpha 90.00
_cell_angle_beta 90.00
_cell_angle_gamma 90.00
_symmetry_space_group_name_H-M 'I 4/m m m'
_symmetry_Int_Tables_number 139
_symmetry_space_group_name_Hall '-I 4 2'
loop_
_atom_site_label
_atom_site_type_symbol
_atom_site_fract_x
_atom_site_fract_y
_atom_site_fract_z
_atom_site_occupancy
Tm1 Tm 0.000 0.000 0.201 1
Cd1 Cd 0.000 0.500 0.250 1
P1 P 0.000 0.000 0.500 1
Rh1 Rh 0.242 0.242 0.000 1
```

=====

Entry from Alexandria via LeMat-Bulk: an optimized crystal structure of TePt (PBE).

Summary:
Calculated volume, Å³/atom: 23.6
DFT total energy, eV/cell: -18.94

Structure (CIF):
```
data_TePt
_cell_length_a 3.603
_cell_length_b 3.603
_cell_length_c 7.279
_cell_angle_alpha 90.00
_cell_angle_beta 90.00
_cell_angle_gamma 90.00
_symmetry_space_group_name_H-M 'P 4/n m m'
_symmetry_Int_Tables_number 129
loop_
_symmetry_equiv_pos_as_xyz
'x,y,z'
'-x,-y,-z'
'-y+1/2,x,z'
'y+1/2,-x,-z'
'-x+1/2,-y+1/2,z'
'x+1/2,y+1/2,-z'
'y,-x+1/2,z'
'-y,x+1/2,-z'
'x+1/2,-y,-z'
'-x+1/2,y,z'
'-y,-x,-z'
'y,x,z'
'-x,y+1/2,-z'
'x,-y+1/2,z'
'y+1/2,x+1/2,-z'
'-y+1/2,-x+1/2,z'
loop_
_atom_site_label
_atom_site_type_symbol
_atom_site_fract_x
_atom_site_fract_y
_atom_site_fract_z
_atom_site_occupancy
Te1 Te 0.250 0.250 0.235 1
Pt1 Pt 0.250 0.250 0.609 1
```

=====

Entry from Alexandria via LeMat-Bulk: an optimized crystal structure of ReHg (PBE).

Summary:
Calculated volume, Å³/atom: 37.6
DFT total energy, eV/cell: -77.19
ΔE to the lowest computed polymorph, eV/f.u.: 2.32
Energy of formation from the pure elements, eV/atom: 1.550

Structure (CIF):
```
data_ReHg
_cell_length_a 8.441
_cell_length_b 8.441
_cell_length_c 8.441
_cell_angle_alpha 90.00
_cell_angle_beta 90.00
_cell_angle_gamma 90.00
_symmetry_space_group_name_H-M 'I -4 3 m'
_symmetry_Int_Tables_number 217
_symmetry_space_group_name_Hall 'I -4 2 3'
loop_
_atom_site_label
_atom_site_type_symbol
_atom_site_fract_x
_atom_site_fract_y
_atom_site_fract_z
_atom_site_occupancy
Re1 Re 0.102 0.102 0.102 1
Hg1 Hg 0.213 0.213 0.787 1
```

=====

Entry from Alexandria via LeMat-Bulk: an optimized crystal structure of Cr3AgRh (PBE).

Summary:
Calculated volume, Å³/atom: 21.1
DFT total energy, eV/cell: -33.03
ΔE to the lowest computed polymorph, eV/f.u.: 0.00
Energy of formation from the pure elements, eV/atom: 1.208

Structure (CIF):
```
data_Cr3AgRh
_cell_length_a 4.729
_cell_length_b 4.729
_cell_length_c 4.729
_cell_angle_alpha 90.00
_cell_angle_beta 90.00
_cell_angle_gamma 90.00
_symmetry_space_group_name_H-M 'P m -3 m'
_symmetry_Int_Tables_number 221
_symmetry_space_group_name_Hall '-P 4 2 3'
loop_
_atom_site_label
_atom_site_type_symbol
_atom_site_fract_x
_atom_site_fract_y
_atom_site_fract_z
_atom_site_occupancy
Cr1 Cr 0.000 0.000 0.500 1
Ag1 Ag 0.500 0.500 0.500 1
Rh1 Rh 0.000 0.000 0.000 1
```

=====

Entry from Alexandria via LeMat-Bulk: an optimized crystal structure of CuTeW (PBE).

Summary:
Calculated volume, Å³/atom: 17.9
DFT total energy, eV/cell: -17.73
ΔE to the lowest computed polymorph, eV/f.u.: 0.82

Structure (CIF):
```
data_CuTeW
_cell_length_a 4.6926
_cell_length_b 4.6926
_cell_length_c 2.8189
_cell_angle_alpha 90.00
_cell_angle_beta 90.00
_cell_angle_gamma 120.00
_symmetry_space_group_name_H-M 'P -6 m 2'
_symmetry_Int_Tables_number 187
_symmetry_space_group_name_Hall 'P -6 2'
loop_
_atom_site_label
_atom_site_type_symbol
_atom_site_fract_x
_atom_site_fract_y
_atom_site_fract_z
_atom_site_occupancy
Cu1 Cu 0.0000 0.0000 0.0000 1
Te1 Te 0.6667 0.3333 0.5000 1
W1 W 0.3333 0.6667 0.5000 1
```

=====

Entry from Alexandria via LeMat-Bulk: an optimized crystal structure of La3NdSm4Te8 (PBE).

Summary:
Calculated volume, Å³/atom: 32.3
DFT total energy, eV/cell: -261.09

Structure (CIF):
```
data_La3NdSm4Te8
_cell_length_a 9.0178
_cell_length_b 9.0178
_cell_length_c 22.0178
_cell_angle_alpha 90.00
_cell_angle_beta 90.00
_cell_angle_gamma 120.00
_symmetry_space_group_name_H-M 'R -3 m'
_symmetry_Int_Tables_number 166
_symmetry_space_group_name_Hall '-R 3 2"'
loop_
_atom_site_label
_atom_site_type_symbol
_atom_site_fract_x
_atom_site_fract_y
_atom_site_fract_z
_atom_site_occupancy
La1 La 0.0000 0.5000 0.0000 1
Nd1 Nd 0.0000 0.0000 0.0000 1
Sm1 Sm 0.0000 0.0000 0.5000 1
Sm2 Sm 0.0000 0.5000 0.5000 1
Te1 Te 0.0000 0.0000 0.2469 1
Te2 Te 0.0020 0.5010 0.7525 1
```

=====

Entry from Alexandria via LeMat-Bulk: an optimized crystal structure of LiY2AgC (PBE).

Summary:
Calculated volume, Å³/atom: 20.3
DFT total energy, eV/cell: -27.60
Energy of formation from the pure elements, eV/atom: -0.137

Structure (CIF):
```
data_LiY2AgC
_cell_length_a 4.920
_cell_length_b 4.920
_cell_length_c 4.196
_cell_angle_alpha 90.00
_cell_angle_beta 90.00
_cell_angle_gamma 90.00
_symmetry_space_group_name_H-M 'P 4/m m m'
_symmetry_Int_Tables_number 123
_symmetry_space_group_name_Hall '-P 4 2'
loop_
_atom_site_label
_atom_site_type_symbol
_atom_site_fract_x
_atom_site_fract_y
_atom_site_fract_z
_atom_site_occupancy
Li1 Li 0.000 0.000 0.000 1
Y1 Y 0.000 0.500 0.500 1
Ag1 Ag 0.500 0.500 0.000 1
C1 C 0.000 0.000 0.500 1
```

=====

Entry from Alexandria via LeMat-Bulk: an optimized crystal structure of CsK2MnBr5 (PBE).

Summary:
Calculated volume, Å³/atom: 36.7
DFT total energy, eV/cell: -134.76

Structure (CIF):
```
data_CsK2MnBr5
_cell_length_a 9.313
_cell_length_b 9.313
_cell_length_c 15.235
_cell_angle_alpha 90.00
_cell_angle_beta 90.00
_cell_angle_gamma 90.00
_symmetry_space_group_name_H-M 'I 4/m c m'
_symmetry_Int_Tables_number 140
_symmetry_space_group_name_Hall '-I 4 2c'
loop_
_atom_site_label
_atom_site_type_symbol
_atom_site_fract_x
_atom_site_fract_y
_atom_site_fract_z
_atom_site_occupancy
Cs1 Cs 0.000 0.000 0.250 1
K1 K 0.164 0.336 0.000 1
Mn1 Mn 0.000 0.500 0.250 1
Br1 Br 0.000 0.000 0.000 1
Br2 Br 0.145 0.355 0.355 1
```

=====

Entry from Alexandria via LeMat-Bulk: an optimized crystal structure of VGaBi3 (PBE).

Summary:
Calculated volume, Å³/atom: 30.1
DFT total energy, eV/cell: -21.76
ΔE to the lowest computed polymorph, eV/f.u.: 0.00
Energy of formation from the pure elements, eV/atom: 0.406

Structure (CIF):
```
data_VGaBi3
_cell_length_a 5.319
_cell_length_b 5.319
_cell_length_c 5.319
_cell_angle_alpha 90.00
_cell_angle_beta 90.00
_cell_angle_gamma 90.00
_symmetry_space_group_name_H-M 'P m -3 m'
_symmetry_Int_Tables_number 221
_symmetry_space_group_name_Hall '-P 4 2 3'
loop_
_atom_site_label
_atom_site_type_symbol
_atom_site_fract_x
_atom_site_fract_y
_atom_site_fract_z
_atom_site_occupancy
V1 V 0.000 0.000 0.000 1
Ga1 Ga 0.500 0.500 0.500 1
Bi1 Bi 0.000 0.000 0.500 1
```

=====

Entry from Alexandria via LeMat-Bulk: an optimized crystal structure of InMo2As (PBE).

Summary:
Calculated volume, Å³/atom: 17.4
DFT total energy, eV/cell: -55.61
ΔE to the lowest computed polymorph, eV/f.u.: 1.11
Energy of formation from the pure elements, eV/atom: 0.311

Structure (CIF):
```
data_InMo2As
_cell_length_a 3.275
_cell_length_b 4.910
_cell_length_c 8.669
_cell_angle_alpha 90.00
_cell_angle_beta 90.00
_cell_angle_gamma 90.00
_symmetry_space_group_name_H-M 'I m m m'
_symmetry_Int_Tables_number 71
_symmetry_space_group_name_Hall '-I 2 2'
loop_
_atom_site_label
_atom_site_type_symbol
_atom_site_fract_x
_atom_site_fract_y
_atom_site_fract_z
_atom_site_occupancy
In1 In 0.000 0.000 0.000 1
Mo1 Mo 0.000 0.500 0.219 1
As1 As 0.000 0.000 0.500 1
```

=====

Entry from Alexandria via LeMat-Bulk: an optimized crystal structure of LaDy4ErS8 (PBE).

Summary:
Calculated volume, Å³/atom: 26.9
DFT total energy, eV/cell: -264.47

Structure (CIF):
```
data_LaDy4ErS8
_cell_length_a 8.1145
_cell_length_b 8.1145
_cell_length_c 19.8289
_cell_angle_alpha 90.00
_cell_angle_beta 90.00
_cell_angle_gamma 120.00
_symmetry_space_group_name_H-M 'R 3 m'
_symmetry_Int_Tables_number 160
_symmetry_space_group_name_Hall 'R 3 -2"'
loop_
_atom_site_label
_atom_site_type_symbol
_atom_site_fract_x
_atom_site_fract_y
_atom_site_fract_z
_atom_site_occupancy
La1 La 0.0000 0.0000 0.0000 1
Dy1 Dy 0.0000 0.0000 0.2494 1
Dy2 Dy 0.0026 0.5013 0.1251 1
Er1 Er 0.0000 0.0000 0.6240 1
S1 S 0.0000 0.0000 0.3812 1
S2 S 0.0000 0.0000 0.8624 1
S3 S 0.0349 0.5174 0.3782 1
S4 S 0.1768 0.3537 0.2067 1
```

=====

Entry from Alexandria via LeMat-Bulk: an optimized crystal structure of ZrAlN2O (PBE).

Summary:
Calculated volume, Å³/atom: 10.1
DFT total energy, eV/cell: -39.13

Structure (CIF):
```
data_ZrAlN2O
_cell_length_a 3.728
_cell_length_b 3.728
_cell_length_c 3.644
_cell_angle_alpha 90.00
_cell_angle_beta 90.00
_cell_angle_gamma 90.00
_symmetry_space_group_name_H-M 'P 4/m m m'
_symmetry_Int_Tables_number 123
_symmetry_space_group_name_Hall '-P 4 2'
loop_
_atom_site_label
_atom_site_type_symbol
_atom_site_fract_x
_atom_site_fract_y
_atom_site_fract_z
_atom_site_occupancy
Zr1 Zr 0.000 0.000 0.000 1
Al1 Al 0.500 0.500 0.500 1
N1 N 0.000 0.500 0.500 1
O1 O 0.500 0.500 0.000 1
```

=====

Entry from Alexandria via LeMat-Bulk: an optimized crystal structure of AcTb4Dy7 (PBE).

Summary:
Calculated volume, Å³/atom: 34.0
DFT total energy, eV/cell: -102.35
ΔE to the lowest computed polymorph, eV/f.u.: 3.49
Energy of formation from the pure elements, eV/atom: 0.306

Structure (CIF):
```
data_AcTb4Dy7
_cell_length_a 12.258
_cell_length_b 6.041
_cell_length_c 12.570
_cell_angle_alpha 90.00
_cell_angle_beta 118.76
_cell_angle_gamma 90.00
_symmetry_space_group_name_H-M 'C 1 2/m 1'
_symmetry_Int_Tables_number 12
_symmetry_space_group_name_Hall '-C 2y'
loop_
_atom_site_label
_atom_site_type_symbol
_atom_site_fract_x
_atom_site_fract_y
_atom_site_fract_z
_atom_site_occupancy
Ac1 Ac 0.000 0.000 0.000 1
Tb1 Tb 0.126 0.500 0.775 1
Tb2 Tb 0.242 0.500 0.316 1
Dy1 Dy 0.000 0.500 0.000 1
Dy2 Dy 0.052 0.000 0.345 1
Dy3 Dy 0.135 0.500 0.508 1
Dy4 Dy 0.216 0.000 0.920 1
```

=====

Entry from Alexandria via LeMat-Bulk: an optimized crystal structure of MgCd8Sn2 (PBE).

Summary:
Calculated volume, Å³/atom: 26.1
DFT total energy, eV/cell: -32.02
ΔE to the lowest computed polymorph, eV/f.u.: 0.21
Energy of formation from the pure elements, eV/atom: 0.083

Structure (CIF):
```
data_MgCd8Sn2
_cell_length_a 14.471
_cell_length_b 7.747
_cell_length_c 5.392
_cell_angle_alpha 90.00
_cell_angle_beta 108.09
_cell_angle_gamma 90.00
_symmetry_space_group_name_H-M 'C 1 2/m 1'
_symmetry_Int_Tables_number 12
_symmetry_space_group_name_Hall '-C 2y'
loop_
_atom_site_label
_atom_site_type_symbol
_atom_site_fract_x
_atom_site_fract_y
_atom_site_fract_z
_atom_site_occupancy
Mg1 Mg 0.000 0.000 0.000 1
Cd1 Cd 0.081 0.500 0.382 1
Cd2 Cd 0.118 0.313 0.935 1
Cd3 Cd 0.224 0.000 0.240 1
Sn1 Sn 0.112 0.000 0.607 1
```

=====

Entry from Alexandria via LeMat-Bulk: an optimized crystal structure of GeMoIr (PBE).

Summary:
Calculated volume, Å³/atom: 15.4
DFT total energy, eV/cell: -97.69
ΔE to the lowest computed polymorph, eV/f.u.: 0.38
Energy of formation from the pure elements, eV/atom: -0.037

Structure (CIF):
```
data_GeMoIr
_cell_length_a 7.324
_cell_length_b 4.360
_cell_length_c 5.817
_cell_angle_alpha 90.00
_cell_angle_beta 96.90
_cell_angle_gamma 90.00
_symmetry_space_group_name_H-M 'C 1 2/m 1'
_symmetry_Int_Tables_number 12
_symmetry_space_group_name_Hall '-C 2y'
loop_
_atom_site_label
_atom_site_type_symbol
_atom_site_fract_x
_atom_site_fract_y
_atom_site_fract_z
_atom_site_occupancy
Ge1 Ge 0.019 0.000 0.244 1
Mo1 Mo 0.194 0.500 0.391 1
Ir1 Ir 0.154 0.500 0.872 1
```

=====

Entry from Alexandria via LeMat-Bulk: an optimized crystal structure of CrSnBr4 (PBE).

Summary:
Calculated volume, Å³/atom: 33.9
DFT total energy, eV/cell: -24.22

Structure (CIF):
```
data_CrSnBr4
_cell_length_a 6.805
_cell_length_b 4.123
_cell_length_c 7.252
_cell_angle_alpha 90.00
_cell_angle_beta 91.19
_cell_angle_gamma 90.00
_symmetry_space_group_name_H-M 'P 1 2/m 1'
_symmetry_Int_Tables_number 10
_symmetry_space_group_name_Hall '-P 2y'
loop_
_atom_site_label
_atom_site_type_symbol
_atom_site_fract_x
_atom_site_fract_y
_atom_site_fract_z
_atom_site_occupancy
Cr1 Cr 0.000 0.000 0.000 1
Sn1 Sn 0.000 0.500 0.500 1
Br1 Br 0.218 0.500 0.148 1
Br2 Br 0.231 0.000 0.716 1
```